Material: CsPu2GaTe4
Method: DFT, PBE-GGA
State: optimized geometry

CIF file:
```
data_CsPu2GaTe4
_chemical_formula_sum 'Cs4 Pu8 Ga4 Te16'
_space_group_name_H-M_alt 'C m c m'
_space_group_IT_number 63
_space_group_name_Hall '-C 2c 2'
_cell_length_a 4.827
_cell_length_b 15.621
_cell_length_c 15.810
_cell_angle_alpha 90.00
_cell_angle_beta 90.00
_cell_angle_gamma 90.00
loop_
_atom_site_label
_atom_site_type_symbol
_atom_site_fract_x
_atom_site_fract_y
_atom_site_fract_z
Cs1 Cs 0.000 0.117 0.250
Pu1 Pu 0.000 0.373 0.052
Ga1 Ga 0.000 0.151 0.750
Te1 Te 0.000 0.000 0.000
Te2 Te 0.000 0.251 0.607
Te3 Te 0.000 0.428 0.250
```

Values from the calculation:
Raw total energy = -207.26 eV per cell
Total magnetic moment = 1.392 μB/atom
Formation energy (no corrections) = -0.838 eV per atom



Material: CsRbGa4
Method: DFT, PBE-GGA
State: optimized geometry

CIF file:
```
data_CsRbGa4
_chemical_formula_sum 'Cs4 Rb4 Ga16'
_space_group_name_H-M_alt 'F -4 3 m'
_space_group_IT_number 216
_space_group_name_Hall 'F -4 2 3'
_cell_length_a 8.797
_cell_length_b 8.797
_cell_length_c 8.797
_cell_angle_alpha 90.00
_cell_angle_beta 90.00
_cell_angle_gamma 90.00
loop_
_atom_site_label
_atom_site_type_symbol
_atom_site_fract_x
_atom_site_fract_y
_atom_site_fract_z
Cs1 Cs 0.000 0.000 0.000
Rb1 Rb 0.250 0.250 0.250
Ga1 Ga 0.125 0.125 0.625
```

Values from the calculation:
Raw total energy = -53.51 eV per cell
Total magnetic moment = 0.000 μB/atom
ΔH_f (0 K) = 92 meV/atom



Material: Cs3RbGa
Method: DFT, PBE-GGA
State: optimized geometry

CIF file:
```
data_Cs3RbGa
_chemical_formula_sum 'Cs3 Rb1 Ga1'
_space_group_name_H-M_alt 'P m -3 m'
_space_group_IT_number 221
_space_group_name_Hall '-P 4 2 3'
_cell_length_a 7.524
_cell_length_b 7.524
_cell_length_c 7.524
_cell_angle_alpha 90.00
_cell_angle_beta 90.00
_cell_angle_gamma 90.00
loop_
_atom_site_label
_atom_site_type_symbol
_atom_site_fract_x
_atom_site_fract_y
_atom_site_fract_z
Cs1 Cs 0.000 0.000 0.500
Rb1 Rb 0.500 0.500 0.500
Ga1 Ga 0.000 0.000 0.000
```

Values from the calculation:
Raw total energy = -5.87 eV per cell
Total magnetic moment = 0.027 μB/atom
ΔH_f (0 K) = 137 meV/atom



Material: CsRb3Ga
Method: DFT, PBE-GGA
State: optimized geometry

CIF file:
```
data_CsRb3Ga
_chemical_formula_sum 'Cs1 Rb3 Ga1'
_space_group_name_H-M_alt 'P m -3 m'
_space_group_IT_number 221
_space_group_name_Hall '-P 4 2 3'
_cell_length_a 7.245
_cell_length_b 7.245
_cell_length_c 7.245
_cell_angle_alpha 90.00
_cell_angle_beta 90.00
_cell_angle_gamma 90.00
loop_
_atom_site_label
_atom_site_type_symbol
_atom_site_fract_x
_atom_site_fract_y
_atom_site_fract_z
Cs1 Cs 0.000 0.000 0.000
Rb1 Rb 0.000 0.500 0.500
Ga1 Ga 0.500 0.500 0.500
```

Values from the calculation:
Raw total energy = -6.18 eV per cell
Total magnetic moment = 0.000 μB/atom
ΔH_f (0 K) = 120 meV/atom